Entry from Alexandria via LeMat-Bulk: a geometry-optimized AlCrN2O structure (PBE with a Hubbard U).

Structure (CIF):
```
data_AlCrN2O
_chemical_formula_sum 'Al1 Cr1 N2 O1'
_cell_length_a 3.7064
_cell_length_b 3.7064
_cell_length_c 3.9268
_cell_angle_alpha 90.00
_cell_angle_beta 90.00
_cell_angle_gamma 90.00
_space_group_name_H-M_alt 'P 4/m m m'
_space_group_IT_number 123
_space_group_name_Hall '-P 4 2'
loop_
_atom_site_label
_atom_site_type_symbol
_atom_site_fract_x
_atom_site_fract_y
_atom_site_fract_z
_atom_site_occupancy
Al1 Al 0.0000 0.0000 0.0000 1
Cr1 Cr 0.5000 0.5000 0.5000 1
N1 N 0.0000 0.5000 0.5000 1
O1 O 0.5000 0.5000 0.0000 1
```

Output
crystal system: tetragonal
DFT total energy: -6.213 eV/atom
density of states at the Fermi level: 2.4 states/eV/cell